1.
Pm4Ho2Pb3O2 PBE-GGA optimized geometry; calculated total energy = -64.11 eV for the cell shown; volume = 294.16 Å³/cell; space group = No. 139
1.0
4.7932 0.0000 0.0000
0.0000 4.7932 0.0000
-2.3966 -2.3966 12.8037
Ho Pm Pb O
2 4 3 2
direct
0.6932 0.6932 0.3863 Ho
0.3068 0.3068 0.6137 Ho
0.5845 0.0845 0.1690 Pm
0.0845 0.5845 0.1690 Pm
0.9155 0.4155 0.8310 Pm
0.4155 0.9155 0.8310 Pm
0.8182 0.8182 0.6364 Pb
0.0000 0.0000 0.0000 Pb
0.1818 0.1818 0.3636 Pb
0.3943 0.3943 0.7885 O
0.6057 0.6057 0.2115 O

2.
PdI2NCl PBE-GGA optimized geometry; calculated total energy = -11.76 eV for the cell shown; volume = 147.91 Å³/cell; space group = No. 123
1.0
-6.6544 1.0199 -0.0064
-0.8641 -5.6601 -3.5410
-0.2626 -1.6964 2.7756
I Cl N Pd
2 1 1 1
direct
0.0000 0.5000 0.0000 I
0.5000 0.0000 0.0000 I
0.0000 0.0000 0.0000 Cl
0.0000 0.0000 0.5000 N
0.5000 0.5000 0.5000 Pd

3.
Zn4Se3S PBE-GGA optimized geometry; calculated total energy = -25.49 eV for the cell shown; volume = 181.80 Å³/cell; space group = No. 160
1.0
-2.0571 -2.4414 2.4176
1.6926 -3.3656 1.3582
4.4221 4.5546 11.6791
Zn Se S
4 3 1
direct
0.0598 0.0598 0.8206 Zn
0.5633 0.5633 0.3101 Zn
0.8116 0.8116 0.5651 Zn
0.3151 0.3151 0.0548 Zn
0.2518 0.2518 0.2446 Se
0.5002 0.5002 0.4995 Se
0.7485 0.7485 0.7545 Se
0.9997 0.9997 0.0008 S

4.
CeErZnFe PBE-GGA optimized geometry; calculated total energy = -20.45 eV for the cell shown; E_form = -54 meV per atom; volume = 83.44 Å³/cell; space group = No. 216
1.0
4.9049 0.0000 0.0000
2.4524 4.2477 0.0000
2.4524 1.4159 4.0048
Er Fe Zn Ce
1 1 1 1
direct
0.2500 0.2500 0.2500 Er
0.0000 0.0000 0.0000 Fe
0.5000 0.5000 0.5000 Zn
0.7500 0.7500 0.7500 Ce

5.
Ac2PmTiO6 PBE-GGA optimized geometry; calculated total energy = -165.05 eV for the cell shown; volume = 305.23 Å³/cell; space group = No. 14
1.0
5.9555 0.0000 -0.0680
0.0000 6.0675 0.0000
-0.0464 0.0000 8.4473
Ac Pm O Ti
4 2 12 2
direct
0.9864 0.0527 0.7530 Ac
0.0136 0.9473 0.2470 Ac
0.5136 0.5527 0.7470 Ac
0.4864 0.4473 0.2530 Ac
0.0000 0.5000 0.5000 Pm
0.5000 0.0000 0.0000 Pm
0.1864 0.2156 0.0575 O
0.6028 0.0310 0.2675 O
0.2816 0.6891 0.0526 O
0.3136 0.7156 0.4425 O
0.2184 0.1891 0.4474 O
0.3972 0.9690 0.7325 O
0.1028 0.4690 0.7675 O
0.7816 0.8109 0.5526 O
0.7184 0.3109 0.9474 O
0.6864 0.2844 0.5575 O
0.8972 0.5310 0.2325 O
0.8136 0.7844 0.9425 O
0.5000 0.0000 0.5000 Ti
0.0000 0.5000 0.0000 Ti

6.
MnNi3Pt2 PBE-GGA optimized geometry; calculated total energy = -153.56 eV for the cell shown; E_form = 34 meV per atom; volume = 346.55 Å³/cell; space group = No. 141
1.0
-6.9022 1.4134 -4.1961
-0.6840 -8.0184 -1.5758
1.0439 2.6889 7.2015
Mn Pt Ni
4 8 12
direct
0.9117 0.4117 0.8234 Mn
0.6617 0.6617 0.3234 Mn
0.5883 0.0883 0.1766 Mn
0.3383 0.3383 0.6766 Mn
0.3595 0.6805 0.7190 Pt
0.3195 0.6405 0.2810 Pt
0.8905 0.0695 0.7810 Pt
0.3595 0.0386 0.7190 Pt
0.8905 0.7114 0.7810 Pt
0.9614 0.6405 0.2810 Pt
0.9305 0.1095 0.2190 Pt
0.2886 0.1095 0.2190 Pt
0.2735 0.7265 0.0000 Ni
0.7265 0.2735 0.0000 Ni
0.1250 0.3750 0.2500 Ni
0.9765 0.0235 0.5000 Ni
0.1250 0.8750 0.2500 Ni
0.5235 0.4765 0.5000 Ni
0.7265 0.7265 0.0000 Ni
0.1250 0.8750 0.7500 Ni
0.6250 0.8750 0.7500 Ni
0.2735 0.2735 0.0000 Ni
0.5235 0.0235 0.5000 Ni
0.9765 0.4765 0.5000 Ni